# Er2ScIr4

An optimized crystal structure of Er2ScIr4 (GGA-PBE, the Alexandria database).

The structure in POSCAR format:
```
Er2ScIr4
1.0
4.2667 0.0000 0.0000
0.0000 4.2667 0.0000
0.0000 0.0000 7.5521
Er Sc Ir
2 1 4
direct
0.0000 0.0000 0.0000
0.5000 0.5000 0.5000
0.5000 0.5000 0.0000
0.5000 0.0000 0.2451
0.0000 0.5000 0.7549
0.5000 0.0000 0.7549
0.0000 0.5000 0.2451
```

**Calculated volume**: 19.6 Å³/atom
**DOS(E_F)**: 0.7220 states/eV per atom
**Final energy**: -7.665 eV/atom


# ErSc2Ir9

An optimized crystal structure of ErSc2Ir9 (GGA-PBE, the Alexandria database).

The structure in POSCAR format:
```
ErSc2Ir9
1.0
5.0192 0.0000 1.4938
2.2873 4.4677 1.4938
0.0005 0.0003 9.1776
Er Sc Ir
1 2 9
direct
0.0000 0.0000 0.0000
0.8607 0.8607 0.4179
0.1393 0.1393 0.5821
0.6663 0.6663 0.0011
0.3337 0.3337 0.9989
0.5000 0.5000 0.5000
0.4148 0.4148 0.2521
0.9183 0.4148 0.2521
0.4148 0.9183 0.2521
0.5852 0.5852 0.7479
0.5852 0.0817 0.7479
0.0817 0.5852 0.7479
```

**Calculated volume**: 17.2 Å³/atom
**DOS(E_F)**: 1.0777 states/eV per atom
**Final energy**: -8.622 eV/atom


# ErScSnIr

An optimized crystal structure of ErScSnIr (GGA-PBE, the Alexandria database).

The structure in POSCAR format:
```
ErScSnIr
1.0
-3.6871 -3.2465 0.3357
-0.5091 -3.5094 -3.4164
0.9505 -4.6965 1.1342
Sc Ir Sn Er
1 1 1 1
direct
0.5000 0.5000 0.5000
0.7500 0.7500 0.7500
0.2500 0.2500 0.2500
0.0000 0.0000 0.0000
```

**Calculated volume**: 21.1 Å³/atom
**DOS(E_F)**: 0.6246 states/eV per atom
**Final energy**: -6.569 eV/atom


# TbErScIr

An optimized crystal structure of TbErScIr (GGA-PBE, the Alexandria database).

The structure in POSCAR format:
```
TbErScIr
1.0
5.0224 0.0000 0.0000
2.5112 4.3495 0.0000
2.5112 1.4498 4.1008
Sc Ir Tb Er
1 1 1 1
direct
0.0000 0.0000 0.0000
0.5000 0.5000 0.5000
0.2500 0.2500 0.2500
0.7500 0.7500 0.7500
```

**Calculated volume**: 22.4 Å³/atom
**DOS(E_F)**: 1.0192 states/eV per atom
**Final energy**: -6.369 eV/atom


# ErScTcIr

An optimized crystal structure of ErScTcIr (GGA-PBE, the Alexandria database).

The structure in POSCAR format:
```
ErScTcIr
1.0
4.6804 0.0000 0.0000
2.3402 4.0533 0.0000
2.3402 1.3511 3.8215
Sc Ir Tc Er
1 1 1 1
direct
0.5000 0.5000 0.5000
0.7500 0.7500 0.7500
0.2500 0.2500 0.2500
0.0000 0.0000 0.0000
```

**Calculated volume**: 18.1 Å³/atom
**DOS(E_F)**: 1.1743 states/eV per atom
**Final energy**: -7.985 eV/atom


# Er3Sc3Tl2Ir

An optimized crystal structure of Er3Sc3Tl2Ir (GGA-PBE, the Alexandria database).

The structure in POSCAR format:
```
Er3Sc3Tl2Ir
1.0
-3.5252 1.4040 -2.1723
-4.5385 -3.1778 5.3110
2.3789 7.2500 0.8254
Er Sc Tl Ir
3 3 2 1
direct
0.0000 0.0000 0.4006
0.0000 0.5994 0.5994
0.0000 0.4006 0.0000
0.5000 0.7656 0.0000
0.5000 0.2344 0.2344
0.5000 0.0000 0.7656
0.5000 0.3333 0.6667
0.5000 0.6667 0.3333
0.0000 0.0000 0.0000
```

**Calculated volume**: 24.8 Å³/atom
**DOS(E_F)**: 1.0163 states/eV per atom
**Final energy**: -5.591 eV/atom


# ErTmScIr

An optimized crystal structure of ErTmScIr (GGA-PBE, the Alexandria database).

The structure in POSCAR format:
```
ErTmScIr
1.0
-0.9056 2.9411 -3.9243
-3.8801 -0.9501 -2.9854
-3.9601 3.0311 0.0168
Sc Ir Tm Er
1 1 1 1
direct
0.2500 0.2500 0.2500
0.7500 0.7500 0.7500
0.0000 0.0000 0.0000
0.5000 0.5000 0.5000
```

**Calculated volume**: 21.9 Å³/atom
**DOS(E_F)**: 0.9486 states/eV per atom
**Final energy**: -6.371 eV/atom


# ErZrSc2Ir4

An optimized crystal structure of ErZrSc2Ir4 (GGA-PBE, the Alexandria database).

The structure in POSCAR format:
```
ErZrSc2Ir4
1.0
4.6651 0.0000 0.0000
2.3326 4.0401 0.0000
2.3326 1.3467 7.6272
Er Zr Sc Ir
1 1 2 4
direct
0.0000 0.0000 0.0000
0.5000 0.5000 0.5000
0.7497 0.7497 0.7509
0.2503 0.2503 0.2491
0.3787 0.3787 0.8640
0.8715 0.8715 0.3855
0.1285 0.1285 0.6145
0.6213 0.6213 0.1360
```

**Calculated volume**: 18.0 Å³/atom
**DOS(E_F)**: 0.7315 states/eV per atom
**Final energy**: -8.571 eV/atom


# Er4IrSe2

An optimized crystal structure of Er4IrSe2 (GGA-PBE, the Alexandria database).

The structure in POSCAR format:
```
Er4IrSe2
1.0
-2.7288 -0.4909 -2.6278
0.8884 -6.0422 2.9829
-9.7384 3.2597 9.5036
Er Ir Se
8 2 4
direct
0.2043 0.4085 0.6301
0.7957 0.5915 0.3699
0.7957 0.5915 0.1301
0.2043 0.4085 0.8699
0.9519 0.9038 0.7500
0.0481 0.0962 0.2500
0.5000 0.0000 0.0000
0.5000 0.0000 0.5000
0.3951 0.7902 0.2500
0.6049 0.2098 0.7500
0.8583 0.7166 0.9349
0.1417 0.2834 0.0651
0.8583 0.7166 0.5651
0.1417 0.2834 0.4349
```

**Calculated volume**: 24.9 Å³/atom
**DOS(E_F)**: 0.5156 states/eV per atom
**Final energy**: -6.124 eV/atom


# ErIrSe

An optimized crystal structure of ErIrSe (GGA-PBE, the Alexandria database).

The structure in POSCAR format:
```
ErIrSe
1.0
4.1708 0.0000 0.0000
2.0854 3.6120 0.0000
2.0854 1.2040 10.7795
Er Se Ir
2 2 2
direct
0.5687 0.5687 0.2940
0.4313 0.4313 0.7060
0.2775 0.2775 0.1674
0.7225 0.7225 0.8326
0.8340 0.8340 0.4980
0.1660 0.1660 0.5020
```

**Calculated volume**: 27.1 Å³/atom
**DOS(E_F)**: 0.7231 states/eV per atom
**Final energy**: -6.590 eV/atom


# Er7IrSe5

An optimized crystal structure of Er7IrSe5 (GGA-PBE, the Alexandria database).

The structure in POSCAR format:
```
Er7IrSe5
1.0
3.9226 0.0000 0.0000
-1.9613 6.6544 0.0077
0.0000 -0.0286 24.2609
Er Ir Se
14 2 10
direct
0.4539 0.9078 0.2481
0.5467 0.0933 0.7481
0.6468 0.2935 0.0393
0.3683 0.7365 0.9656
0.3538 0.7076 0.5393
0.6323 0.2646 0.4656
0.2124 0.4248 0.1826
0.8066 0.6133 0.8170
0.7882 0.5764 0.6826
0.1939 0.3878 0.3170
0.9204 0.8408 0.1129
0.1079 0.2159 0.8700
0.0802 0.1605 0.6129
0.8926 0.7852 0.3701
0.8070 0.6141 0.2596
0.1935 0.3871 0.7595
0.0097 0.0193 0.9995
0.7285 0.4569 0.9290
0.2859 0.5719 0.0726
0.5475 0.0950 0.3594
0.4371 0.8743 0.6446
0.9909 0.9818 0.4995
0.2721 0.5441 0.4290
0.7147 0.4293 0.5726
0.4530 0.9060 0.8594
0.5635 0.1269 0.1446
```

**Calculated volume**: 24.4 Å³/atom
**DOS(E_F)**: 0.3913 states/eV per atom
**Final energy**: -5.967 eV/atom


# Er6IrSe5

An optimized crystal structure of Er6IrSe5 (GGA-PBE, the Alexandria database).

The structure in POSCAR format:
```
Er6IrSe5
1.0
-0.7639 0.0002 -7.0574
-4.5940 -3.5666 4.0701
-2.0360 6.6051 1.4164
Ir Se Er
1 5 6
direct
0.0000 0.0000 0.0000
0.8227 0.1773 0.5000
0.6649 0.3351 0.0000
0.5000 0.5000 0.5000
0.3351 0.6649 0.0000
0.1773 0.8227 0.5000
0.3881 0.0761 0.2333
0.9239 0.6119 0.7667
0.2311 0.2311 0.7618
0.7689 0.7689 0.2382
0.0761 0.3881 0.2333
0.6119 0.9239 0.7667
```

**Calculated volume**: 24.1 Å³/atom
**DOS(E_F)**: 0.6576 states/eV per atom
**Final energy**: -6.078 eV/atom


# Er4Te2IrSe

An optimized crystal structure of Er4Te2IrSe (GGA-PBE, the Alexandria database).

The structure in POSCAR format:
```
Er4Te2IrSe
1.0
-1.5423 3.7279 0.7913
1.1179 -1.0806 7.2695
6.7477 2.4302 1.7029
Er Te Ir Se
4 2 1 1
direct
0.0000 0.7167 0.7435
0.0000 0.2833 0.2565
0.5000 0.7049 0.2832
0.5000 0.2951 0.7168
0.0000 0.0000 0.0000
0.5000 0.0000 0.5000
0.0000 0.5000 0.5000
0.5000 0.5000 0.0000
```

**Calculated volume**: 26.7 Å³/atom
**DOS(E_F)**: 0.6565 states/eV per atom
**Final energy**: -5.912 eV/atom


# Er4TeIrSe2

An optimized crystal structure of Er4TeIrSe2 (GGA-PBE, the Alexandria database).

The structure in POSCAR format:
```
Er4TeIrSe2
1.0
-2.3962 -3.2305 0.4500
5.7847 -4.0425 1.7826
0.9059 0.3341 7.2218
Er Te Ir Se
4 1 1 2
direct
0.0000 0.7479 0.7192
0.0000 0.2521 0.2808
0.5000 0.7291 0.2841
0.5000 0.2709 0.7159
0.5000 0.5000 0.0000
0.0000 0.5000 0.5000
0.0000 0.0000 0.0000
0.5000 0.0000 0.5000
```

**Calculated volume**: 25.5 Å³/atom
**DOS(E_F)**: 0.6790 states/eV per atom
**Final energy**: -6.013 eV/atom


# ErThIrSe

An optimized crystal structure of ErThIrSe (GGA-PBE, the Alexandria database).

The structure in POSCAR format:
```
ErThIrSe
1.0
4.0197 -0.0005 -0.0002
-2.0094 3.4816 -0.0001
-2.0093 -1.1602 7.3568
Er Th Ir Se
1 1 1 1
direct
0.1172 0.9565 0.0891
0.4946 0.1451 0.6551
0.3055 0.5506 0.8716
0.9606 0.3785 0.3539
```

**Calculated volume**: 25.7 Å³/atom
**DOS(E_F)**: 0.3139 states/eV per atom
**Final energy**: -7.321 eV/atom


# Er2SiIr

An optimized crystal structure of Er2SiIr (GGA-PBE, the Alexandria database).

The structure in POSCAR format:
```
Er2SiIr
1.0
-2.2483 2.5128 2.3281
-0.0341 -3.8316 4.1027
6.2762 5.0214 0.6412
Er Si Ir
4 2 2
direct
0.7500 0.2191 0.4138
0.2500 0.7809 0.5862
0.2500 0.7895 0.0620
0.7500 0.2105 0.9380
0.7500 0.6530 0.2895
0.2500 0.3470 0.7105
0.2500 0.3723 0.2188
0.7500 0.6277 0.7812
```

**Calculated volume**: 21.5 Å³/atom
**DOS(E_F)**: 0.6295 states/eV per atom
**Final energy**: -6.727 eV/atom


# ErSi4Ir2

An optimized crystal structure of ErSi4Ir2 (GGA-PBE, the Alexandria database).

The structure in POSCAR format:
```
ErSi4Ir2
1.0
4.1424 0.0000 0.0000
0.0000 6.4374 0.0000
0.0000 0.0000 16.4799
Er Si Ir
4 16 8
direct
0.7500 0.0018 0.6413
0.2500 0.9982 0.3587
0.2500 0.5018 0.8587
0.7500 0.4982 0.1413
0.2500 0.2777 0.6917
0.7500 0.7223 0.3083
0.7500 0.7777 0.8083
0.2500 0.2223 0.1917
0.2500 0.6873 0.6820
0.7500 0.3127 0.3180
0.7500 0.1873 0.8180
0.2500 0.8127 0.1820
0.2500 0.1368 0.5342
0.7500 0.8632 0.4658
0.7500 0.6368 0.9658
0.2500 0.3632 0.0342
0.2500 0.4632 0.4349
0.7500 0.5368 0.5651
0.7500 0.9632 0.0651
0.2500 0.0368 0.9349
0.2500 0.7491 0.5335
0.7500 0.2509 0.4665
0.7500 0.2491 0.9665
0.2500 0.7509 0.0335
0.2500 0.9802 0.7868
0.7500 0.0198 0.2132
0.7500 0.4802 0.7132
0.2500 0.5198 0.2868
```

**Calculated volume**: 15.7 Å³/atom
**DOS(E_F)**: 0.1486 states/eV per atom
**Final energy**: -7.066 eV/atom


# ErSiIr

An optimized crystal structure of ErSiIr (GGA-PBE, the Alexandria database).

The structure in POSCAR format:
```
ErSiIr
1.0
3.7788 0.0000 0.0000
0.0000 4.1738 0.0000
0.0000 -2.0869 3.6146
Si Ir Er
1 1 1
direct
0.1666 0.6667 0.3333
0.1667 0.0000 0.0000
0.6667 0.3333 0.6667
```

**Calculated volume**: 19.0 Å³/atom
**DOS(E_F)**: 0.5047 states/eV per atom
**Final energy**: -7.226 eV/atom


# Er3Si8Ir3

An optimized crystal structure of Er3Si8Ir3 (GGA-PBE, the Alexandria database).

The structure in POSCAR format:
```
Er3Si8Ir3
1.0
-2.6301 3.0002 -1.2852
-2.1874 3.8594 6.6503
3.9012 7.0777 1.7030
Er Si Ir
3 8 3
direct
0.2886 0.7458 0.6769
0.7114 0.2542 0.3231
0.0000 0.0000 0.0000
0.1195 0.1573 0.6037
0.8805 0.8427 0.3963
0.8368 0.4447 0.8818
0.1632 0.5553 0.1182
0.5169 0.6632 0.3030
0.4831 0.3368 0.6970
0.3645 0.9972 0.2738
0.6355 0.0028 0.7262
0.0000 0.5000 0.5000
0.6549 0.7047 0.9854
0.3451 0.2953 0.0146
```

**Calculated volume**: 16.8 Å³/atom
**DOS(E_F)**: 0.3474 states/eV per atom
**Final energy**: -6.656 eV/atom


# Er3Si3Ir

An optimized crystal structure of Er3Si3Ir (GGA-PBE, the Alexandria database).

The structure in POSCAR format:
```
Er3Si3Ir
1.0
4.1579 0.0000 0.6263
2.0508 5.1902 0.5001
0.1852 0.0400 12.8851
Er Si Ir
6 6 2
direct
0.5254 0.3253 0.6240
0.4746 0.6747 0.3760
0.2549 0.2601 0.2300
0.7451 0.7399 0.7700
0.3962 0.2853 0.9223
0.6038 0.7147 0.0777
0.8665 0.7286 0.5385
0.1335 0.2714 0.4615
0.1111 0.8514 0.9264
0.8889 0.1486 0.0736
0.9597 0.8489 0.2317
0.0403 0.1511 0.7683
0.7505 0.1029 0.3962
0.2495 0.8971 0.6038
```

**Calculated volume**: 19.8 Å³/atom
**DOS(E_F)**: 0.6309 states/eV per atom
**Final energy**: -6.477 eV/atom


# Er2Si3Ir

An optimized crystal structure of Er2Si3Ir (GGA-PBE, the Alexandria database).

The structure in POSCAR format:
```
Er2Si3Ir
1.0
5.6904 0.2305 0.0000
-0.1206 5.6938 0.0000
-2.7849 -2.9622 7.0355
Er Si Ir
4 6 2
direct
0.7500 0.2500 0.5000
0.7468 0.2532 0.0000
0.2500 0.7500 0.5000
0.2532 0.7468 0.0000
0.8346 0.8346 0.1668
0.6678 0.6678 0.8332
0.1654 0.1654 0.8332
0.3322 0.3322 0.1668
0.1669 0.1669 0.3338
0.8331 0.8331 0.6662
0.6661 0.6661 0.3322
0.3339 0.3339 0.6678
```

**Calculated volume**: 19.0 Å³/atom
**E above lowest polymorph**: 0 meV/atom
**DOS(E_F)**: 0.2995 states/eV per atom


# ErSiIr

An optimized crystal structure of ErSiIr (GGA-PBE, the Alexandria database).

The structure in POSCAR format:
```
ErSiIr
1.0
-3.2663 -1.4793 -2.2228
-0.2305 -5.5025 4.0008
-4.6808 3.5024 4.5473
Er Si Ir
4 4 4
direct
0.7500 0.5019 0.8129
0.2500 0.9981 0.3129
0.7500 0.0019 0.6871
0.2500 0.4981 0.1871
0.2500 0.7031 0.6106
0.2500 0.2031 0.8894
0.7500 0.2969 0.3894
0.7500 0.7969 0.1106
0.2500 0.8420 0.9331
0.2500 0.3420 0.5669
0.7500 0.6580 0.4331
0.7500 0.1580 0.0669
```

**Calculated volume**: 17.7 Å³/atom
**DOS(E_F)**: 0.4123 states/eV per atom
**Final energy**: -7.370 eV/atom